# CrMoF2

A relaxed CrMoF2 crystal (PBE with a Hubbard U, Alexandria).

Unit cell a=7.7407 b=7.7407 c=7.7407 alpha=24.77 beta=24.77 gamma=24.77
Last column: nearest neighbours and their distance in Å.
Positions (direct):
F1 0.0879 0.0879 0.0879  1 Cr 1.98
F2 0.9121 0.9121 0.9121  1 Cr 1.98
Mo1 0.5000 0.5000 0.5000  6 F 2.61
Cr1 0.0000 0.0000 0.0000  2 F 1.98

The symmetry is R-3m. The value obtained for the electronic total energy is -5.388 eV/atom.